# NaTlGa

A geometry-optimized NaTlGa structure (GGA-PBE, Alexandria).

abc: 3.5963 3.5963 6.4258
angles: 106.25 106.25 90.00
Atoms (fractional coordinates):
Ga 0.6706 0.6706 0.3412
Tl 0.3219 0.3219 0.6437
Na 0.0075 0.0075 0.0150

SG: I4mm (107)
Fermi-level density of states in states/eV per cell: 0.982
ΔE_f in eV/f.u.: -0.11
ΔE to the lowest computed polymorph in eV/atom: 0.035